No. 1
# LiOsCl2 (SCAN, PBEsol geometry)
# Formation energy without anion corrections, eV per formula unit: 1.034
# M_tot, μB/atom: 0.727
# E above lowest polymorph, meV/atom: 435
# VASP energy, eV/atom: -22.30
# Crystal system: tetragonal
data_LiOsCl2
_space_group_name_H-M_alt 'P 4/m m m'
_space_group_IT_number 123
_space_group_name_Hall '-P 4 2'
_cell_length_a 3.0022
_cell_length_b 3.0022
_cell_length_c 7.0031
_cell_angle_alpha 90.00
_cell_angle_beta 90.00
_cell_angle_gamma 90.00
loop_
_atom_site_label
_atom_site_type_symbol
_atom_site_fract_x
_atom_site_fract_y
_atom_site_fract_z
_atom_site_occupancy
Li1 Li 0.0000 0.0000 0.0000 1
Os1 Os 0.0000 0.0000 0.5000 1
Cl1 Cl 0.5000 0.5000 0.2244 1

=====

No. 2
# LiOsCl2 (SCAN, PBEsol geometry)
# Formation energy without anion corrections, eV per formula unit: -0.706
# M_tot, μB/atom: 0.249
# E above lowest polymorph, meV/atom: 0
# VASP energy, eV/atom: -22.73
# Crystal system: orthorhombic
data_LiOsCl2
_space_group_name_H-M_alt 'I m m m'
_space_group_IT_number 71
_space_group_name_Hall '-I 2 2'
_cell_length_a 3.5604
_cell_length_b 4.1507
_cell_length_c 11.1038
_cell_angle_alpha 90.00
_cell_angle_beta 90.00
_cell_angle_gamma 90.00
loop_
_atom_site_label
_atom_site_type_symbol
_atom_site_fract_x
_atom_site_fract_y
_atom_site_fract_z
_atom_site_occupancy
Li1 Li 0.0000 0.0000 0.0000 1
Os1 Os 0.0000 0.0000 0.5000 1
Cl1 Cl 0.0000 0.5000 0.1342 1

=====

No. 3
# LiOsCl2 (SCAN, PBEsol geometry)
# Formation energy without anion corrections, eV per formula unit: 0.301
# M_tot, μB/atom: 0.594
# E above lowest polymorph, meV/atom: 252
# VASP energy, eV/atom: -22.48
# Crystal system: trigonal
data_LiOsCl2
_space_group_name_H-M_alt 'R -3 m'
_space_group_IT_number 166
_space_group_name_Hall '-R 3 2"'
_cell_length_a 3.0938
_cell_length_b 3.0938
_cell_length_c 22.2235
_cell_angle_alpha 90.00
_cell_angle_beta 90.00
_cell_angle_gamma 120.00
loop_
_atom_site_label
_atom_site_type_symbol
_atom_site_fract_x
_atom_site_fract_y
_atom_site_fract_z
_atom_site_occupancy
Li1 Li 0.0000 0.0000 0.0000 1
Os1 Os 0.0000 0.0000 0.5000 1
Cl1 Cl 0.0000 0.0000 0.2614 1

=====

No. 4
# LiOsCl2 (SCAN, PBEsol geometry)
# Formation energy without anion corrections, eV per formula unit: 0.359
# M_tot, μB/atom: 0.000
# E above lowest polymorph, meV/atom: 266
# VASP energy, eV/atom: -22.47
# Crystal system: orthorhombic
data_LiOsCl2
_space_group_name_H-M_alt 'A m m 2'
_space_group_IT_number 38
_cell_length_a 4.2232
_cell_length_b 2.9921
_cell_length_c 9.3971
_cell_angle_alpha 90.00
_cell_angle_beta 90.00
_cell_angle_gamma 90.00
loop_
_space_group_symop_operation_xyz
'x,y,z'
'-x,-y,z'
'-x,y,z'
'x,-y,z'
'x,y+1/2,z+1/2'
'-x,-y+1/2,z+1/2'
'-x,y+1/2,z+1/2'
'x,-y+1/2,z+1/2'
loop_
_atom_site_label
_atom_site_type_symbol
_atom_site_fract_x
_atom_site_fract_y
_atom_site_fract_z
_atom_site_occupancy
Li1 Li 0.0000 0.0000 0.0000 1
Os1 Os 0.5000 0.0000 0.7927 1
Cl1 Cl 0.0000 0.0000 0.2818 1
Cl2 Cl 0.5000 0.0000 0.5452 1

=====

No. 5
# LiOsCl (SCAN, PBEsol geometry)
# Formation energy without anion corrections, eV per formula unit: 1.625
# M_tot, μB/atom: 0.000
# VASP energy, eV/atom: -26.87
# Crystal system: orthorhombic
data_LiOsCl
_space_group_name_H-M_alt 'I m m 2'
_space_group_IT_number 44
_cell_length_a 2.7442
_cell_length_b 3.0952
_cell_length_c 10.5356
_cell_angle_alpha 90.00
_cell_angle_beta 90.00
_cell_angle_gamma 90.00
loop_
_space_group_symop_operation_xyz
'x,y,z'
'-x,-y,z'
'-x,y,z'
'x,-y,z'
'x+1/2,y+1/2,z+1/2'
'-x+1/2,-y+1/2,z+1/2'
'-x+1/2,y+1/2,z+1/2'
'x+1/2,-y+1/2,z+1/2'
loop_
_atom_site_label
_atom_site_type_symbol
_atom_site_fract_x
_atom_site_fract_y
_atom_site_fract_z
_atom_site_occupancy
Li1 Li 0.0000 0.0000 0.0000 1
Os1 Os 0.0000 0.0000 0.6517 1
Cl1 Cl 0.0000 0.0000 0.4249 1

=====

No. 6
# LiPOsCl2 (SCAN, PBEsol geometry)
# Formation energy without anion corrections, eV per formula unit: 4.158
# M_tot, μB/atom: 0.398
# VASP energy, eV/atom: -19.29
# Crystal system: tetragonal
data_LiPOsCl2
_space_group_name_H-M_alt 'P 4/m m m'
_space_group_IT_number 123
_space_group_name_Hall '-P 4 2'
_cell_length_a 3.8939
_cell_length_b 3.8939
_cell_length_c 6.5729
_cell_angle_alpha 90.00
_cell_angle_beta 90.00
_cell_angle_gamma 90.00
loop_
_atom_site_label
_atom_site_type_symbol
_atom_site_fract_x
_atom_site_fract_y
_atom_site_fract_z
_atom_site_occupancy
Li1 Li 0.0000 0.0000 0.0000 1
P1 P 0.0000 0.0000 0.5000 1
Os1 Os 0.5000 0.5000 0.5000 1
Cl1 Cl 0.0000 0.5000 0.0000 1

=====

No. 7
# LiOsPb2Cl (SCAN, PBEsol geometry)
# Formation energy without anion corrections, eV per formula unit: -0.053
# M_tot, μB/atom: 0.000
# VASP energy, eV/atom: -46.77
# Crystal system: tetragonal
data_LiOsPb2Cl
_space_group_name_H-M_alt 'P 4/m m m'
_space_group_IT_number 123
_space_group_name_Hall '-P 4 2'
_cell_length_a 5.1726
_cell_length_b 5.1726
_cell_length_c 4.8760
_cell_angle_alpha 90.00
_cell_angle_beta 90.00
_cell_angle_gamma 90.00
loop_
_atom_site_label
_atom_site_type_symbol
_atom_site_fract_x
_atom_site_fract_y
_atom_site_fract_z
_atom_site_occupancy
Li1 Li 0.0000 0.0000 0.0000 1
Os1 Os 0.0000 0.0000 0.5000 1
Pb1 Pb 0.0000 0.5000 0.5000 1
Cl1 Cl 0.5000 0.5000 0.0000 1

=====

No. 8
# LiTlOs2Cl (SCAN, PBEsol geometry)
# Formation energy without anion corrections, eV per formula unit: 10.083
# M_tot, μB/atom: 0.974
# VASP energy, eV/atom: -43.28
# Crystal system: tetragonal
data_LiTlOs2Cl
_space_group_name_H-M_alt 'P 4/m m m'
_space_group_IT_number 123
_space_group_name_Hall '-P 4 2'
_cell_length_a 5.0438
_cell_length_b 5.0438
_cell_length_c 5.1494
_cell_angle_alpha 90.00
_cell_angle_beta 90.00
_cell_angle_gamma 90.00
loop_
_atom_site_label
_atom_site_type_symbol
_atom_site_fract_x
_atom_site_fract_y
_atom_site_fract_z
_atom_site_occupancy
Li1 Li 0.0000 0.0000 0.0000 1
Tl1 Tl 0.0000 0.0000 0.5000 1
Os1 Os 0.0000 0.5000 0.5000 1
Cl1 Cl 0.5000 0.5000 0.0000 1

=====

No. 9
# LiReP2Cl (SCAN, PBEsol geometry)
# Formation energy without anion corrections, eV per formula unit: 0.074
# M_tot, μB/atom: 0.000
# VASP energy, eV/atom: -20.44
# Crystal system: tetragonal
data_LiReP2Cl
_space_group_name_H-M_alt 'P 4/m m m'
_space_group_IT_number 123
_space_group_name_Hall '-P 4 2'
_cell_length_a 4.4966
_cell_length_b 4.4966
_cell_length_c 5.3986
_cell_angle_alpha 90.00
_cell_angle_beta 90.00
_cell_angle_gamma 90.00
loop_
_atom_site_label
_atom_site_type_symbol
_atom_site_fract_x
_atom_site_fract_y
_atom_site_fract_z
_atom_site_occupancy
Li1 Li 0.0000 0.0000 0.0000 1
Re1 Re 0.5000 0.5000 0.5000 1
P1 P 0.0000 0.5000 0.5000 1
Cl1 Cl 0.5000 0.5000 0.0000 1

=====

No. 10
# Li6PS5Cl (SCAN, PBEsol geometry)
# Formation energy without anion corrections, eV per formula unit: -16.127
# M_tot, μB/atom: 0.013
# VASP energy, eV/atom: -7.46
# Crystal system: cubic
data_Li6PS5Cl
_space_group_name_H-M_alt 'F -4 3 m'
_space_group_IT_number 216
_space_group_name_Hall 'F -4 2 3'
_cell_length_a 10.1455
_cell_length_b 10.1455
_cell_length_c 10.1455
_cell_angle_alpha 90.00
_cell_angle_beta 90.00
_cell_angle_gamma 90.00
loop_
_atom_site_label
_atom_site_type_symbol
_atom_site_fract_x
_atom_site_fract_y
_atom_site_fract_z
_atom_site_occupancy
Li1 Li 0.0000 0.0000 0.2268 1
P1 P 0.2500 0.2500 0.7500 1
S1 S 0.0000 0.0000 0.0000 1
S2 S 0.1336 0.1336 0.6336 1
Cl1 Cl 0.2500 0.2500 0.2500 1

=====

No. 11
# Li20Si3P3S23Cl (SCAN, PBEsol geometry)
# Formation energy without anion corrections, eV per formula unit: -59.374
# M_tot, μB/atom: 0.000
# VASP energy, eV/atom: -7.96
# Crystal system: monoclinic
data_Li20Si3P3S23Cl
_space_group_name_H-M_alt 'P 1 m 1'
_space_group_IT_number 6
_cell_length_a 8.6692
_cell_length_b 8.7061
_cell_length_c 12.4603
_cell_angle_alpha 90.00
_cell_angle_beta 90.55
_cell_angle_gamma 90.00
loop_
_space_group_symop_operation_xyz
'x,y,z'
'x,-y,z'
loop_
_atom_site_label
_atom_site_type_symbol
_atom_site_fract_x
_atom_site_fract_y
_atom_site_fract_z
_atom_site_occupancy
Li1 Li 0.0000 0.0000 0.0000 1
Li2 Li 0.0093 0.0000 0.4765 1
Li3 Li 0.2250 0.3141 0.1921 1
Li4 Li 0.2451 0.2484 0.9534 1
Li5 Li 0.2564 0.2487 0.4324 1
Li6 Li 0.3249 0.2216 0.6925 1
Li7 Li 0.4946 0.5000 0.8946 1
Li8 Li 0.5081 0.5000 0.3777 1
Li9 Li 0.7232 0.1844 0.1837 1
Li10 Li 0.7488 0.2524 0.9442 1
Li11 Li 0.7521 0.2544 0.4203 1
Li12 Li 0.8413 0.2861 0.6839 1
Si1 Si 0.0080 0.0000 0.2422 1
Si2 Si 0.0161 0.0000 0.7559 1
Si3 Si 0.5060 0.5000 0.1360 1
P1 P 0.4865 0.0000 0.9418 1
P2 P 0.5075 0.5000 0.6303 1
P3 P 0.9927 0.5000 0.4349 1
S1 S 0.0010 0.2062 0.8425 1
S2 S 0.0031 0.3041 0.5271 1
S3 S 0.1868 0.0000 0.6382 1
S4 S 0.1948 0.5000 0.3484 1
S5 S 0.2076 0.0000 0.3426 1
S6 S 0.2926 0.5000 0.0419 1
S7 S 0.3018 0.0000 0.0393 1
S8 S 0.3108 0.5000 0.7174 1
S9 S 0.4930 0.1950 0.8495 1
S10 S 0.4943 0.3019 0.2361 1
S11 S 0.5123 0.3026 0.5387 1
S12 S 0.6903 0.0000 0.0297 1
S13 S 0.6923 0.5000 0.7353 1
S14 S 0.7003 0.5000 0.0339 1
S15 S 0.7974 0.0000 0.3380 1
S16 S 0.8069 0.5000 0.3362 1
S17 S 0.9920 0.1982 0.1436 1
Cl1 Cl 0.8002 0.0000 0.6609 1

=====

No. 12
# LiScP2Cl (SCAN, PBEsol geometry)
# Formation energy without anion corrections, eV per formula unit: -2.261
# M_tot, μB/atom: 0.206
# VASP energy, eV/atom: -9.53
# Crystal system: tetragonal
data_LiScP2Cl
_space_group_name_H-M_alt 'P 4/m m m'
_space_group_IT_number 123
_space_group_name_Hall '-P 4 2'
_cell_length_a 4.9339
_cell_length_b 4.9339
_cell_length_c 5.0427
_cell_angle_alpha 90.00
_cell_angle_beta 90.00
_cell_angle_gamma 90.00
loop_
_atom_site_label
_atom_site_type_symbol
_atom_site_fract_x
_atom_site_fract_y
_atom_site_fract_z
_atom_site_occupancy
Li1 Li 0.0000 0.0000 0.0000 1
Sc1 Sc 0.5000 0.5000 0.5000 1
P1 P 0.0000 0.5000 0.5000 1
Cl1 Cl 0.5000 0.5000 0.0000 1